No. 1
! Li2InBr | the Alexandria database | PBE | relaxed; values from VASP
! Energy relative to the elements, uncorrected (eV per atom): -0.57
! Space group: I-42d
! E above lowest polymorph (meV/atom): 151
! E (eV/atom): -2.633
&SYSTEM
  ibrav = 0, nat = 8, ntyp = 3
/
ATOMIC_SPECIES
Li 6.94 Li.upf
In 114.82 In.upf
Br 79.90 Br.upf
CELL_PARAMETERS angstrom
-3.6735 3.6735 3.5470
3.6735 -3.6735 3.5470
3.6735 3.6735 -3.5470
ATOMIC_POSITIONS crystal
Li 0.0760 0.6250 0.9510
Li 0.3750 0.3260 0.4510
Li 0.6740 0.1250 0.0490
Li 0.8750 0.9240 0.5490
In 0.2500 0.7500 0.5000
In 0.5000 0.5000 0.0000
Br 0.0000 0.0000 0.0000
Br 0.7500 0.2500 0.5000

---

No. 2
! ReB2N2 | the Alexandria database | PBE | relaxed; values from VASP
! Energy relative to the elements, uncorrected (eV per atom): 1.33
! Space group: I4/mmm
! E above lowest polymorph (meV/atom): 841
! E (eV/atom): -7.162
&SYSTEM
  ibrav = 0, nat = 5, ntyp = 3
/
ATOMIC_SPECIES
Re 186.21 Re.upf
B 10.81 B.upf
N 14.01 N.upf
CELL_PARAMETERS angstrom
-1.8129 1.8129 2.9952
1.8129 -1.8129 2.9952
1.8129 1.8129 -2.9952
ATOMIC_POSITIONS crystal
Re 0.0000 0.0000 0.0000
B 0.3631 0.3631 0.0000
B 0.6369 0.6369 0.0000
N 0.2500 0.7500 0.5000
N 0.7500 0.2500 0.5000

---

No. 3
! NaCuPdO3 | the Alexandria database | PBE | relaxed; values from VASP
! Energy relative to the elements, uncorrected (eV per atom): -0.63
! Space group: Cmcm
! E (eV/atom): -4.877
&SYSTEM
  ibrav = 0, nat = 12, ntyp = 4
/
ATOMIC_SPECIES
Na 22.99 Na.upf
Cu 63.55 Cu.upf
Pd 106.42 Pd.upf
O 16.00 O.upf
CELL_PARAMETERS angstrom
1.6275 -6.1131 0.0000
1.6275 6.1131 0.0000
0.0000 0.0000 8.0498
ATOMIC_POSITIONS crystal
Na 0.1779 0.8221 0.7500
Na 0.8221 0.1779 0.2500
Cu 0.1075 0.8925 0.2500
Cu 0.8925 0.1075 0.7500
Pd 0.5000 0.5000 0.0000
Pd 0.5000 0.5000 0.5000
O 0.1088 0.8912 0.0253
O 0.1088 0.8912 0.4747
O 0.4530 0.5470 0.2500
O 0.5470 0.4530 0.7500
O 0.8912 0.1088 0.5253
O 0.8912 0.1088 0.9747

---

No. 4
! NaPmPt10 | the Alexandria database | PBE | relaxed; values from VASP
! Space group: Pmmm
! Energy relative to the elements (meV/atom): -440
! E (eV/atom): -5.980
&SYSTEM
  ibrav = 0, nat = 12, ntyp = 3
/
ATOMIC_SPECIES
Na 22.99 Na.upf
Pm 145.00 Pm.upf
Pt 195.08 Pt.upf
CELL_PARAMETERS angstrom
4.4168 0.0000 0.0000
0.0000 5.4118 0.0000
0.0000 0.0000 9.2963
ATOMIC_POSITIONS crystal
Na 0.0000 0.0000 0.0000
Pm 0.0000 0.5000 0.5000
Pt 0.0000 0.0000 0.3308
Pt 0.0000 0.0000 0.6692
Pt 0.0000 0.5000 0.1645
Pt 0.0000 0.5000 0.8355
Pt 0.5000 0.0000 0.5000
Pt 0.5000 0.2524 0.2526
Pt 0.5000 0.2524 0.7474
Pt 0.5000 0.5000 0.0000
Pt 0.5000 0.7476 0.2526
Pt 0.5000 0.7476 0.7474

---

No. 5
! AcLa6PrTm2 | the Alexandria database | PBE | relaxed; values from VASP
! Space group: C2/c
! Energy relative to the elements (meV/atom): 102
! E (eV/atom): -4.638
&SYSTEM
  ibrav = 0, nat = 20, ntyp = 4
/
ATOMIC_SPECIES
Ac 227.00 Ac.upf
La 138.91 La.upf
Pr 140.91 Pr.upf
Tm 168.93 Tm.upf
CELL_PARAMETERS angstrom
4.7535 -7.7621 0.0000
4.7535 7.7621 0.0000
-1.3254 0.0000 9.9375
ATOMIC_POSITIONS crystal
Ac 0.0298 0.9702 0.7500
Ac 0.9702 0.0298 0.2500
La 0.0094 0.5522 0.6824
La 0.1058 0.7527 0.0530
La 0.2473 0.8942 0.4470
La 0.2967 0.5111 0.8777
La 0.4478 0.9906 0.8176
La 0.4889 0.7033 0.6223
La 0.5111 0.2967 0.3777
La 0.5522 0.0094 0.1824
La 0.7033 0.4889 0.1223
La 0.7527 0.1058 0.5530
La 0.8942 0.2473 0.9470
La 0.9906 0.4478 0.3176
Pr 0.4076 0.5924 0.2500
Pr 0.5924 0.4076 0.7500
Tm 0.2004 0.3002 0.5478
Tm 0.3002 0.2004 0.0478
Tm 0.6998 0.7996 0.9522
Tm 0.7996 0.6998 0.4522

---

No. 6
! Li2B2Pd5Pb | the Alexandria database | PBE | relaxed; values from VASP
! Space group: P4/mbm
! Energy relative to the elements (meV/atom): -305
! E (eV/atom): -4.991
&SYSTEM
  ibrav = 0, nat = 20, ntyp = 4
/
ATOMIC_SPECIES
Li 6.94 Li.upf
B 10.81 B.upf
Pd 106.42 Pd.upf
Pb 207.20 Pb.upf
CELL_PARAMETERS angstrom
9.8011 0.0000 0.0000
0.0000 9.8011 0.0000
0.0000 0.0000 3.0993
ATOMIC_POSITIONS crystal
Li 0.1760 0.3240 0.0000
Li 0.3240 0.8240 0.0000
Li 0.6760 0.1760 0.0000
Li 0.8240 0.6760 0.0000
B 0.1214 0.6214 0.0000
B 0.3786 0.1214 0.0000
B 0.6214 0.8786 0.0000
B 0.8786 0.3786 0.0000
Pd 0.0000 0.5000 0.5000
Pd 0.0712 0.7691 0.5000
Pd 0.2309 0.0712 0.5000
Pd 0.2691 0.5712 0.5000
Pd 0.4288 0.2691 0.5000
Pd 0.5000 0.0000 0.5000
Pd 0.5712 0.7309 0.5000
Pd 0.7309 0.4288 0.5000
Pd 0.7691 0.9288 0.5000
Pd 0.9288 0.2309 0.5000
Pb 0.0000 0.0000 0.0000
Pb 0.5000 0.5000 0.0000

---

No. 7
! SiGe2PbC | the Alexandria database | PBE | relaxed; values from VASP
! Energy relative to the elements, uncorrected (eV per atom): 2.03
! Space group: P4/mmm
! E above lowest polymorph (meV/atom): 1155
! E (eV/atom): -3.489
&SYSTEM
  ibrav = 0, nat = 5, ntyp = 4
/
ATOMIC_SPECIES
Si 28.09 Si.upf
Ge 72.64 Ge.upf
Pb 207.20 Pb.upf
C 12.01 C.upf
CELL_PARAMETERS angstrom
5.5528 0.0000 0.0000
0.0000 5.5528 0.0000
0.0000 0.0000 4.2515
ATOMIC_POSITIONS crystal
Si 0.0000 0.0000 0.0000
Ge 0.0000 0.5000 0.5000
Ge 0.5000 0.0000 0.5000
Pb 0.5000 0.5000 0.5000
C 0.5000 0.5000 0.0000

---

No. 8
! AcThHgSb | the Alexandria database | PBE | relaxed; values from VASP
! Energy relative to the elements, uncorrected (eV per atom): -0.48
! Space group: F-43m
! E (eV/atom): -4.467
&SYSTEM
  ibrav = 0, nat = 4, ntyp = 4
/
ATOMIC_SPECIES
Ac 227.00 Ac.upf
Th 232.04 Th.upf
Hg 200.59 Hg.upf
Sb 121.76 Sb.upf
CELL_PARAMETERS angstrom
0.0000 3.9521 3.9521
3.9521 0.0000 3.9521
3.9521 3.9521 0.0000
ATOMIC_POSITIONS crystal
Ac 0.0000 0.0000 0.0000
Th 0.5000 0.5000 0.5000
Hg 0.7500 0.7500 0.7500
Sb 0.2500 0.2500 0.2500

---

No. 9
! LiCr2SbN | the Alexandria database | PBE | relaxed; values from VASP
! Energy relative to the elements, uncorrected (eV per atom): -0.25
! Space group: P4/mmm
! E (eV/atom): -6.975
&SYSTEM
  ibrav = 0, nat = 5, ntyp = 4
/
ATOMIC_SPECIES
Li 6.94 Li.upf
Cr 52.00 Cr.upf
Sb 121.76 Sb.upf
N 14.01 N.upf
CELL_PARAMETERS angstrom
3.9650 0.0000 0.0000
0.0000 3.9650 0.0000
0.0000 0.0000 4.1275
ATOMIC_POSITIONS crystal
Li 0.0000 0.0000 0.0000
Cr 0.0000 0.5000 0.5000
Cr 0.5000 0.0000 0.5000
Sb 0.5000 0.5000 0.0000
N 0.0000 0.0000 0.5000

---

No. 10
! Ac5Se5N | the Alexandria database | PBE | relaxed; values from VASP
! Energy relative to the elements, uncorrected (eV per atom): -1.71
! Space group: C2/m
! E (eV/atom): -5.922
&SYSTEM
  ibrav = 0, nat = 11, ntyp = 3
/
ATOMIC_SPECIES
Ac 227.00 Ac.upf
Se 78.96 Se.upf
N 14.01 N.upf
CELL_PARAMETERS angstrom
6.9494 -3.0976 0.0000
6.9494 3.0976 0.0000
-2.7758 0.0000 8.1917
ATOMIC_POSITIONS crystal
Ac 0.0000 0.0000 0.0000
Ac 0.3456 0.3456 0.6876
Ac 0.3541 0.3541 0.1543
Ac 0.6459 0.6459 0.8457
Ac 0.6544 0.6544 0.3124
Se 0.1663 0.1663 0.8326
Se 0.1783 0.1783 0.3301
Se 0.5000 0.5000 0.5000
Se 0.8217 0.8217 0.6699
Se 0.8337 0.8337 0.1674
N 0.5000 0.5000 0.0000

---

Which formula does entry 4 have? NaPmPt10

---

Which of these has the lowest E? ReB2N2

---

What is the E in the first record? -2.633 eV/atom

---

The highest E belongs to which entry? Li2InBr